{
  "formula": "AgPt2Cl",
  "functional": "PBE-GGA",
  "state": "relaxed",
  "relative_energy_ev_per_fu": 0.55,
  "lattice_angstrom": [[5.1894, -1.4597, 0.0000], [5.1894, 1.4597, 0.0000], [-0.4727, 0.0000, 4.6007]],
  "species": ["Ag", "Pt", "Pt", "Cl"],
  "frac_coords": [[0.0000, 0.0000, 0.0000], [0.2720, 0.2720, 0.2496], [0.7280, 0.7280, 0.7504], [0.5000, 0.5000, 0.5000]]
}

=====

{
  "formula": "Ag2PtCl",
  "functional": "PBE-GGA",
  "state": "relaxed",
  "relative_energy_ev_per_fu": 0.01,
  "lattice_angstrom": [[3.0797, 0.0000, 0.0000], [0.0000, 3.1600, 0.0000], [-0.1146, 0.0000, 7.7884]],
  "species": ["Ag", "Ag", "Pt", "Cl"],
  "frac_coords": [[0.0099, 0.0000, 0.2287], [0.9901, 0.0000, 0.7713], [0.5000, 0.5000, 0.0000], [0.0000, 0.5000, 0.5000]]
}

=====

{
  "formula": "AgPt2Cl",
  "functional": "PBE-GGA",
  "state": "relaxed",
  "relative_energy_ev_per_fu": 1.61,
  "lattice_angstrom": [[-1.9203, 1.9203, 4.8355], [1.9203, -1.9203, 4.8355], [1.9203, 1.9203, -4.8355]],
  "species": ["Ag", "Pt", "Pt", "Cl"],
  "frac_coords": [[0.0000, 0.0000, 0.0000], [0.2500, 0.7500, 0.5000], [0.7500, 0.2500, 0.5000], [0.5000, 0.5000, 0.0000]]
}

=====

{
  "formula": "Ag2PtCl",
  "functional": "PBE-GGA",
  "state": "relaxed",
  "relative_energy_ev_per_fu": 1.17,
  "lattice_angstrom": [[-2.0460, 2.0460, 4.3223], [2.0460, -2.0460, 4.3223], [2.0460, 2.0460, -4.3223]],
  "species": ["Ag", "Ag", "Pt", "Cl"],
  "frac_coords": [[0.0000, 0.0000, 0.0000], [0.7500, 0.2500, 0.5000], [0.5000, 0.5000, 0.0000], [0.2500, 0.7500, 0.5000]]
}

=====

{
  "formula": "AgPt2Cl",
  "functional": "PBE-GGA",
  "state": "relaxed",
  "relative_energy_ev_per_fu": 0.46,
  "lattice_angstrom": [[4.3357, -1.4745, 0.0000], [4.3357, 1.4745, 0.0000], [-4.1171, 0.0000, 6.6841]],
  "species": ["Ag", "Pt", "Pt", "Cl"],
  "frac_coords": [[0.0000, 0.0000, 0.0000], [0.1682, 0.1682, 0.7754], [0.3781, 0.3781, 0.6279], [0.6471, 0.6471, 0.3419]]
}

=====

{
  "formula": "Ag2PtCl",
  "functional": "PBE-GGA",
  "state": "relaxed",
  "relative_energy_ev_per_fu": 0.20,
  "lattice_angstrom": [[6.6005, -1.5057, 0.0000], [6.6005, 1.5057, 0.0000], [-0.0402, 0.0000, 4.5869]],
  "species": ["Ag", "Ag", "Pt", "Cl"],
  "frac_coords": [[0.0000, 0.0000, 0.0000], [0.1323, 0.1323, 0.5027], [0.4563, 0.4563, 0.4990], [0.7977, 0.7977, 0.4971]]
}

=====

{
  "formula": "Ag3PtCl",
  "functional": "PBE-GGA",
  "state": "relaxed",
  "relative_energy_ev_per_fu": 0.97,
  "lattice_angstrom": [[4.8478, 0.0000, 0.0000], [0.0000, 4.8478, 0.0000], [0.0000, 0.0000, 4.8478]],
  "species": ["Ag", "Ag", "Ag", "Pt", "Cl"],
  "frac_coords": [[0.0000, 0.0000, 0.5000], [0.0000, 0.5000, 0.0000], [0.5000, 0.0000, 0.0000], [0.5000, 0.5000, 0.5000], [0.0000, 0.0000, 0.0000]]
}

=====

{
  "formula": "AgPtCl6",
  "functional": "PBE-GGA",
  "state": "relaxed",
  "dft_energy_ev_per_cell": -45.24,
  "lattice_angstrom": [[5.6124, -4.0526, 0.0000], [5.6124, 4.0526, 0.0000], [-1.9875, 0.0000, 9.0617]],
  "species": ["Ag", "Ag", "Pt", "Pt", "Cl", "Cl", "Cl", "Cl", "Cl", "Cl", "Cl", "Cl", "Cl", "Cl", "Cl", "Cl"],
  "frac_coords": [[0.0229, 0.9771, 0.7500], [0.9771, 0.0229, 0.2500], [0.0000, 0.5000, 0.0000], [0.5000, 0.0000, 0.5000], [0.1606, 0.2115, 0.4635], [0.1639, 0.5586, 0.2362], [0.2115, 0.1606, 0.9635], [0.2188, 0.6265, 0.8990], [0.3735, 0.7812, 0.6010], [0.4414, 0.8361, 0.2638], [0.5586, 0.1639, 0.7362], [0.6265, 0.2188, 0.3990], [0.7812, 0.3735, 0.1010], [0.7885, 0.8394, 0.0365], [0.8361, 0.4414, 0.7638], [0.8394, 0.7885, 0.5365]]
}